[1]
AcErGaHg: relaxed, PBE.

Unit cell a=5.4228 b=5.4228 c=5.4228 alpha=60.00 beta=60.00 gamma=60.00
Element x y z (fractional)
1 Ac 0.5000 0.5000 0.5000
2 Hg 0.7500 0.7500 0.7500
3 Ga 0.2500 0.2500 0.2500
4 Er 0.0000 0.0000 0.0000

Results
Raw total energy: -3.42 eV per atom
DFT formation energy: -0.42 eV per atom
Space group: No. 216
Fermi-level density of states: 4.38 states/eV per cell

[2]
AcHoErGa: relaxed, PBE.

Unit cell a=5.4561 b=5.4561 c=5.4561 alpha=60.00 beta=60.00 gamma=60.00
Element x y z (fractional)
1 Ac 0.7500 0.7500 0.7500
2 Ho 0.0000 0.0000 0.0000
3 Ga 0.2500 0.2500 0.2500
4 Er 0.5000 0.5000 0.5000

Results
Raw total energy: -3.99 eV per atom
DFT formation energy: 0.07 eV per atom
Space group: No. 216
Fermi-level density of states: 7.67 states/eV per cell